(1)
Computed, not measured: crystalline NaEuCdAu at its relaxed geometry at the PBE level of DFT.

POSCAR file:
```
NaEuCdAu
1.0
5.2904 0.0000 0.0000
2.6452 4.5816 0.0000
2.6452 1.5272 4.3196
Eu Na Au Cd
1 1 1 1
Cartesian
5.2904 3.0544 2.1598 Eu
0.0000 0.0000 0.0000 Na
2.6452 1.5272 1.0799 Au
7.9356 4.5816 3.2397 Cd
```

Properties
energy of formation from the pure elements	-0.36	eV per atom


(2)
Computed, not measured: crystalline Th2Pa2S7 at its relaxed geometry at the PBE level of DFT.

POSCAR file:
```
Th2Pa2S7
1.0
-1.4854 2.8348 3.3562
0.4790 -3.4172 3.0984
12.3079 3.7741 2.2596
Th Pa S
2 2 7
Cartesian
9.9746 4.7038 3.6457 Th
1.8302 -1.2208 1.8412 Th
3.9180 2.8466 2.5337 Pa
7.8867 0.6363 2.9531 Pa
-0.5032 -0.2912 3.2273 S
3.0103 0.9231 0.5527 S
2.6324 0.6703 3.8029 S
6.1540 1.8871 1.1298 S
5.6508 1.5959 4.3571 S
9.2976 2.8510 1.7069 S
8.6691 2.5214 4.9112 S
```

Properties
formation energy without anion corrections	-1.62	eV per atom


(3)
Computed, not measured: crystalline Pm3MgNi3 at its relaxed geometry at the PBE level of DFT.

POSCAR file:
```
Pm3MgNi3
1.0
-3.8939 1.1446 1.4065
2.4959 -3.6484 3.3200
5.5520 10.2180 7.0550
Pm Mg Ni
6 2 6
Cartesian
5.1869 7.8978 7.9325 Pm
-1.0329 -0.1836 3.8490 Pm
3.5840 4.9477 5.8956 Pm
0.5701 2.7665 5.8859 Pm
4.6932 4.6979 9.1700 Pm
-0.5392 3.0164 2.6115 Pm
-1.9469 0.5723 0.7032 Mg
0.8291 5.6813 4.2307 Mg
3.5224 7.2982 10.3714 Ni
0.6316 0.4160 1.4101 Ni
1.8091 4.1450 8.1943 Ni
2.3449 3.5692 3.5872 Ni
2.5184 6.5473 8.2030 Ni
1.6356 1.1670 3.5785 Ni
```

Properties
offset from the most stable computed form	0.00	kcal/mol of atoms
energy of formation from the pure elements	-0.30	eV per atom


(4)
Computed, not measured: crystalline KLiIn3 at its relaxed geometry at the PBE level of DFT.

POSCAR file:
```
KLiIn3
1.0
5.4730 0.0000 0.0000
0.0000 7.6271 0.0000
0.0000 -3.8136 6.7950
K Li In
2 2 6
Cartesian
1.3682 0.0000 5.5233 K
4.1047 3.8136 1.2718 K
0.0000 0.0000 0.0000 Li
2.7365 0.0000 0.0000 Li
1.3682 3.8136 4.0900 In
4.1047 0.0000 2.7051 In
1.3682 1.5826 2.0519 In
4.1047 2.2310 4.7431 In
1.3682 6.0446 2.0519 In
4.1047 -2.2310 4.7431 In
```

Properties
offset from the most stable computed form	1.14	kcal/mol of atoms
energy of formation from the pure elements	-0.14	eV per atom


Let's list calculated density in order: 7.7, 6.8, 7.1, 4.6 g cm⁻³.